A plane-wave DFT calculation with PBE-GGA was carried out for a geometry-optimized Hf2HS structure.

a = 6.8934 Å, b = 6.8934 Å, c = 6.8934 Å
α = 29.27°, β = 29.27°, γ = 29.27°
Sites, in units of the cell vectors:
Hf  0.0909  0.0909  0.0909
Hf  0.9091  0.9091  0.9091
H  0.0000  0.0000  0.0000
S  0.5000  0.5000  0.5000

Values from the calculation:
Energy relative to the lowest polymorph listed for this composition ... 210 meV per atom
E_tot ... -7.2747 eV/atom